[1]
Tb3Nd4ErS8 (PBE-GGA, relaxed); density of states at the Fermi level = 7.6 states/eV/cell; final energy = -6.42 eV/atom
1.0
-4.5585 5.7327 -3.0279
-6.5802 -4.1879 1.9775
5.3522 1.7270 5.5841
S Tb Er Nd
8 3 1 4
Direct
0.7476 0.7334 0.9905
0.7571 0.2665 0.5141
0.2429 0.7334 0.9905
0.2429 0.7335 0.4859
0.7452 0.7356 0.4904
0.2548 0.2644 0.5096
0.7571 0.2666 0.0095
0.2524 0.2666 0.0095
0.5000 0.5000 0.5000
0.0000 0.5000 0.5000
0.5000 0.5000 0.0000
0.0000 0.5000 0.0000
0.0000 0.0000 0.0000
0.0000 0.0000 0.5000
0.5000 0.0000 0.5000
0.5000 0.0000 0.0000

***

[2]
CdNi4C (PBE-GGA, relaxed); ΔE_f = 249 meV/atom; density of states at the Fermi level = 4.1 states/eV/cell; final energy = -5.30 eV/atom
1.0
-1.8121 2.8194 -1.4429
-1.7952 0.4552 3.1440
4.2979 3.7434 1.9117
Ni C Cd
4 1 1
Direct
0.5000 0.5000 0.5000
0.0003 0.5000 0.1931
0.0000 0.0000 0.5000
0.9997 0.5000 0.8069
0.0000 0.5000 0.5000
0.5000 0.0000 0.0000